VASP calculation (SCAN) on a crystal of Li4Nb2V3Ni3O16 relaxed with PBEsol.

Output
Magnetization (μB per formula unit): 9.0
E_tot (eV per atom): -12.22
DOS(E_F) (states/eV/f.u.): 6.7
ΔE_f (raw) (eV/f.u.): -65.59

Unit cell a=10.0755 b=5.7850 c=9.6283 alpha=90.00 beta=90.45 gamma=90.00
Closest atoms and distances in Å follow each position.
Space group Cm (No. 8)
Unique sites:
Li 0.0000 0.0000 0.0000 (multiplicity 2)  4 O 1.85-1.93
Li 0.0023 0.0000 0.5035 (multiplicity 2)  4 O 1.84-1.97
Li 0.1556 0.5000 0.5972 (multiplicity 2)  4 O 1.91-1.95
Li 0.3301 0.0000 0.0900 (multiplicity 2)  4 O 1.94-1.95
Nb 0.1662 0.5000 0.9912 (multiplicity 2)  3 O 1.89-1.91
Nb 0.3424 0.0000 0.4981 (multiplicity 2)  4 O 1.92-2.05
V 0.0913 0.2627 0.2734 (multiplicity 4)  5 O 1.85-2.04
V 0.1747 0.0000 0.7622 (multiplicity 2)  4 O 1.82-1.84
Ni 0.3267 0.5000 0.2823 (multiplicity 2)  6 O 2.00-2.05
Ni 0.4083 0.2452 0.7814 (multiplicity 4)  6 O 1.96-2.09
O 0.0047 0.0000 0.1922 (multiplicity 2)  1 Li 1.85, 2 V 1.92, 1 Ni 2.00
O 0.0055 0.0000 0.6943 (multiplicity 2)  1 V 1.82, 1 Li 1.84, 2 Ni 1.96
O 0.0140 0.5000 0.1526 (multiplicity 2)  1 Li 1.94, 2 V 1.96
O 0.0829 0.2468 0.8974 (multiplicity 4)  1 Nb 1.91, 1 Li 1.93, 1 Ni 2.08
O 0.1545 0.5000 0.3943 (multiplicity 2)  2 V 1.91, 1 Li 1.95, 1 Ni 2.05
O 0.1657 0.0000 0.3921 (multiplicity 2)  1 Li 1.97, 2 V 2.04, 1 Nb 2.05
O 0.2346 0.2720 0.1545 (multiplicity 4)  1 V 1.85, 1 Li 1.95, 1 Ni 2.02
O 0.2449 0.2217 0.6477 (multiplicity 4)  1 V 1.84, 1 Li 1.91
O 0.3125 0.0000 0.8878 (multiplicity 2)  1 V 1.83, 1 Li 1.95, 2 Ni 2.00
O 0.3332 0.5000 0.9028 (multiplicity 2)  1 Nb 1.89, 1 Li 1.92, 2 Ni 2.03
O 0.4202 0.2514 0.3979 (multiplicity 4)  1 Nb 1.92, 1 Li 1.94, 1 Ni 2.04, 1 V 2.11
O 0.4727 0.0000 0.6524 (multiplicity 2)  1 Li 1.92, 1 Nb 1.97, 2 Ni 2.00